1.
This record from the Alexandria database describes a relaxed PmScRh2 crystal. The functional is PBE.

Calculated values
Calculated volume = 19.3 Å³ per atom
E = -7.23 eV per atom
Energy above the most stable polymorph in this dataset = 26 meV per atom
Formation energy = -0.781 eV/atom

a = 6.7636 Å, b = 6.7636 Å, c = 6.7636 Å
α = 90.00°, β = 90.00°, γ = 90.00°
Closest atoms and distances in Å follow each position.
Space group Fm-3m (No. 225)
Symmetry-distinct sites (fractional):
Pm (0.0000, 0.0000, 0.0000) [4 per cell]  8 Rh 2.93
Sc (0.0000, 0.0000, 0.5000) [4 per cell]  8 Rh 2.93
Rh (0.2500, 0.2500, 0.2500) [8 per cell]  4 Pm 2.93, 4 Sc 2.93

---

2.
This record from the Alexandria database describes a relaxed Pm2ScRh crystal. The functional is PBE.

Calculated values
Calculated volume = 28.4 Å³ per atom
E = -5.80 eV per atom
Energy above the most stable polymorph in this dataset = 372 meV per atom
Formation energy = -0.002 eV/atom

a = 3.5504 Å, b = 3.5504 Å, c = 31.1901 Å
α = 90.00°, β = 90.00°, γ = 120.00°
Closest atoms and distances in Å follow each position.
Space group R-3m (No. 166, hexagonal axes)
Symmetry-distinct sites (fractional):
Pm (0.0000, 0.0000, 0.1046) [6 per cell]  3 Rh 2.82
Sc (0.0000, 0.0000, 0.0000) [3 per cell]  2 Pm 3.26, 6 Sc 3.55
Rh (0.0000, 0.0000, 0.5000) [3 per cell]  6 Pm 2.82

---

Among the records above, which one has the highest calculated volume?
Pm2ScRh

---

Which value of formation energy does entry 2 give?
-0.002 eV/atom

---

The highest E belongs to which entry?
Pm2ScRh